Entry from the Alexandria database: a relaxed Pm3AgPt2 crystal (PBE).

```
6
Lattice="-1.205 -3.230 -1.162 1.558 -1.612 2.865 -9.136 1.348 5.727" Properties=species:S:1:pos:R:3 pbc="T T T"
Pt -1.338 -2.198 1.801
Pt -7.445 -1.296 5.629
Pm 0.000 0.000 0.000
Pm -2.915 0.430 1.827
Pm -6.221 0.918 3.900
Ag -4.391 -1.747 3.715
```

Values from the calculation:
Raw total energy (eV per formula unit): -34.1
Spin magnetization (μB/f.u.): 0.000
Density of states at the Fermi level (states/eV per atom): 0.7118